Mg3TeW | PBE | relaxed

Cell: 5.3097 5.3097 5.3097 Å, 90.00 90.00 90.00°
Fractional positions:
Mg 0.0000 0.0000 0.5000
Mg 0.0000 0.5000 0.0000
Mg 0.5000 0.0000 0.0000
Te 0.5000 0.5000 0.5000
W 0.0000 0.0000 0.0000

* symmetry: Pm-3m (221)
* total magnetic moment: 2.568 μB per formula unit
* formation energy from raw total energies: 1.1368 eV per atom
* distance to the lowest polymorph of the same formula: 0.0 meV/atom